(1)
DFT (PBE) results for TlHgAs3S6 after structural relaxation.

Space group ... P2_1/c (14)
Calculated density ... 4.59 Mg/m³
VASP energy ... -43.328 eV/f.u.

abc: 6.1413 11.9122 17.3133
angles: 90.00 110.02 90.00
Last column: nearest neighbours and their distance in Å.
Positions (direct):
Tl1 0.0711 0.1179 0.1917  5 S 3.14-3.49
Tl2 0.0711 0.3821 0.6917  5 S 3.14-3.49
Tl3 0.9289 0.6179 0.3083  5 S 3.14-3.49
Tl4 0.9289 0.8821 0.8083  5 S 3.14-3.49
Hg1 0.1624 0.6014 0.0973  2 S 2.45
Hg2 0.1624 0.8986 0.5973  2 S 2.45
Hg3 0.8376 0.1014 0.4027  2 S 2.45
Hg4 0.8376 0.3986 0.9027  2 S 2.45
As1 0.3176 0.1651 0.9174  3 S 2.21-2.38
As2 0.3176 0.3349 0.4174  3 S 2.21-2.38
As3 0.4070 0.6334 0.9336  3 S 2.26-2.35
As4 0.4070 0.8666 0.4336  3 S 2.26-2.35
As5 0.4456 0.1278 0.7457  3 S 2.27-2.32
As6 0.4456 0.3722 0.2457  3 S 2.27-2.32
As7 0.5544 0.6278 0.7543  3 S 2.27-2.32
As8 0.5544 0.8722 0.2543  3 S 2.27-2.32
As9 0.5930 0.1334 0.5664  3 S 2.26-2.35
As10 0.5930 0.3666 0.0664  3 S 2.26-2.35
As11 0.6824 0.6651 0.5826  3 S 2.21-2.38
As12 0.6824 0.8349 0.0826  3 S 2.21-2.38
S1 0.0574 0.6395 0.9498  1 As 2.26, 1 Hg 2.45
S2 0.0574 0.8605 0.4498  1 As 2.26, 1 Hg 2.45
S3 0.2249 0.6389 0.7904  2 As 2.32-2.35
S4 0.2249 0.8611 0.2904  2 As 2.32-2.35
S5 0.2604 0.1556 0.3827  1 As 2.21
S6 0.2604 0.3444 0.8827  1 As 2.21
S7 0.3455 0.6330 0.6174  2 As 2.28-2.38
S8 0.3455 0.8670 0.1174  2 As 2.28-2.38
S9 0.3679 0.5589 0.2425  1 As 2.27, 1 Hg 2.45
S10 0.3679 0.9411 0.7425  1 As 2.27, 1 Hg 2.45
S11 0.4996 0.1771 0.0570  2 As 2.29-2.32
S12 0.4996 0.3229 0.5570  2 As 2.29-2.32
S13 0.5004 0.6771 0.4430  2 As 2.29-2.32
S14 0.5004 0.8229 0.9430  2 As 2.29-2.32
S15 0.6321 0.0589 0.2575  1 As 2.27, 1 Hg 2.45
S16 0.6321 0.4411 0.7575  1 As 2.27, 1 Hg 2.45
S17 0.6545 0.1330 0.8826  2 As 2.28-2.38
S18 0.6545 0.3670 0.3826  2 As 2.28-2.38
S19 0.7396 0.6556 0.1173  1 As 2.21
S20 0.7396 0.8444 0.6173  1 As 2.21
S21 0.7751 0.1389 0.7096  2 As 2.32-2.35
S22 0.7751 0.3611 0.2096  2 As 2.32-2.35
S23 0.9426 0.1395 0.5502  1 As 2.26, 1 Hg 2.45
S24 0.9426 0.3605 0.0502  1 As 2.26, 1 Hg 2.45

---

(2)
DFT (PBE) results for TlHgAsS3 after structural relaxation.

Space group ... Cmce (64)
Calculated density ... 5.93 Mg/m³
VASP energy ... -21.006 eV/f.u.

abc: 6.2469 6.2469 16.6294
angles: 90.00 90.00 95.95
Last column: nearest neighbours and their distance in Å.
Positions (direct):
Tl1 0.1664 0.8336 0.9496  5 S 3.14-3.51
Tl2 0.3336 0.6664 0.4496  5 S 3.14-3.51
Tl3 0.6664 0.3336 0.5504  5 S 3.14-3.51
Tl4 0.8336 0.1664 0.0504  5 S 3.14-3.51
Hg1 0.0784 0.4216 0.7500  4 S 2.53-2.71
Hg2 0.4216 0.0784 0.2500  4 S 2.53-2.71
Hg3 0.5784 0.9216 0.7500  4 S 2.53-2.71
Hg4 0.9216 0.5784 0.2500  4 S 2.53-2.71
As1 0.0744 0.9256 0.6092  3 S 2.25-2.29
As2 0.4256 0.5744 0.1092  3 S 2.25-2.29
As3 0.5744 0.4256 0.8908  3 S 2.25-2.29
As4 0.9256 0.0744 0.3908  3 S 2.25-2.29
S1 0.1385 0.2931 0.6081  1 As 2.29, 1 Hg 2.53
S2 0.1444 0.8556 0.7390  1 As 2.25
S3 0.2069 0.3615 0.8919  1 As 2.29, 1 Hg 2.53
S4 0.2931 0.1385 0.3919  1 As 2.29, 1 Hg 2.53
S5 0.3556 0.6444 0.2390  1 As 2.25
S6 0.3615 0.2069 0.1081  1 As 2.29, 1 Hg 2.53
S7 0.6385 0.7931 0.8919  1 As 2.29, 1 Hg 2.53
S8 0.6444 0.3556 0.7610  1 As 2.25
S9 0.7069 0.8615 0.6081  1 As 2.29, 1 Hg 2.53
S10 0.7931 0.6385 0.1081  1 As 2.29, 1 Hg 2.53
S11 0.8556 0.1444 0.2610  1 As 2.25
S12 0.8615 0.7069 0.3919  1 As 2.29, 1 Hg 2.53

---

(3)
DFT (PBE) results for TlHgAsS3 after structural relaxation.

Space group ... I-42m (121)
Calculated density ... 5.35 Mg/m³
VASP energy ... -20.469 eV/f.u.

abc: 9.7802 9.7802 9.7802
angles: 106.91 106.91 114.73
Last column: nearest neighbours and their distance in Å.
Positions (direct):
Tl1 0.1559 0.1559 0.0000  2 S 2.89
Tl2 0.2500 0.7500 0.5000  4 S 3.01
Tl3 0.7500 0.2500 0.5000  4 S 3.01
Tl4 0.8441 0.8441 0.0000  2 S 2.89
Hg1 0.2272 0.5000 0.7272  4 S 2.55-2.80
Hg2 0.5000 0.2272 0.7272  4 S 2.55-2.80
Hg3 0.5000 0.7728 0.2728  4 S 2.55-2.80
Hg4 0.7728 0.5000 0.2728  4 S 2.55-2.80
As1 0.0238 0.0238 0.5040  3 S 2.27-2.36
As2 0.4802 0.9762 0.0000  3 S 2.27-2.36
As3 0.5198 0.5198 0.4960  3 S 2.27-2.36
As4 0.9762 0.4802 0.0000  3 S 2.27-2.36
S1 0.0337 0.2362 0.4478  1 As 2.27
S2 0.2116 0.7638 0.7974  1 As 2.27
S3 0.2135 0.4713 0.0000  1 As 2.36
S4 0.2362 0.0337 0.4478  1 As 2.27
S5 0.4141 0.9663 0.2026  1 As 2.27
S6 0.4713 0.2135 0.0000  1 As 2.36
S7 0.5287 0.5287 0.7423  1 As 2.36
S8 0.5859 0.7884 0.5522  1 As 2.27
S9 0.7638 0.2116 0.7974  1 As 2.27
S10 0.7865 0.7865 0.2577  1 As 2.36
S11 0.7884 0.5859 0.5522  1 As 2.27
S12 0.9663 0.4141 0.2026  1 As 2.27

---

(4)
DFT (PBE) results for HgSbAs2 after structural relaxation.

Space group ... F-43m (216)
Calculated density ... 8.72 Mg/m³
VASP energy ... -12.157 eV/f.u.

abc: 5.0296 5.0296 5.0296
angles: 60.00 60.00 60.00
Last column: nearest neighbours and their distance in Å.
Positions (direct):
Hg1 0.0000 0.0000 0.0000  4 As 3.08, 4 Sb 3.08
Sb1 0.2500 0.2500 0.2500  4 As 3.08, 4 Hg 3.08
As1 0.5000 0.5000 0.5000  4 As 3.08, 4 Sb 3.08
As2 0.7500 0.7500 0.7500  4 Hg 3.08, 4 As 3.08

---

(5)
DFT (PBE) results for HgSbAs after structural relaxation.

Space group ... F-43m (216)
Calculated density ... 7.67 Mg/m³
VASP energy ... -8.251 eV/f.u.

abc: 4.9544 4.9544 4.9544
angles: 60.00 60.00 60.00
Last column: nearest neighbours and their distance in Å.
Positions (direct):
Hg1 0.0000 0.0000 0.0000  4 Sb 3.03
Sb1 0.2500 0.2500 0.2500  4 Hg 3.03, 4 As 3.03
As1 0.5000 0.5000 0.5000  4 Sb 3.03

---

(6)
DFT (PBE) results for ScHgAs2 after structural relaxation.

Total magnetization ... 0.0 μB/f.u.
Space group ... F-43m (216)
Calculated density ... 7.95 Mg/m³
VASP energy ... -16.338 eV/f.u.

abc: 4.8872 4.8872 4.8872
angles: 60.00 60.00 60.00
Last column: nearest neighbours and their distance in Å.
Positions (direct):
Sc1 0.0000 0.0000 0.0000  4 Hg 2.99, 4 As 2.99
Hg1 0.7500 0.7500 0.7500  4 As 2.99, 4 Sc 2.99
As1 0.2500 0.2500 0.2500  4 As 2.99, 4 Sc 2.99
As2 0.5000 0.5000 0.5000  4 As 2.99, 4 Hg 2.99

---

(7)
DFT (PBE) results for ScHg2As after structural relaxation.

Total magnetization ... 0.2 μB/f.u.
Space group ... F-43m (216)
Calculated density ... 9.82 Mg/m³
VASP energy ... -12.213 eV/f.u.

abc: 4.9953 4.9953 4.9953
angles: 60.00 60.00 60.00
Last column: nearest neighbours and their distance in Å.
Positions (direct):
Sc1 0.0000 0.0000 0.0000  4 As 3.06, 4 Hg 3.06
Hg1 0.2500 0.2500 0.2500  4 Hg 3.06, 4 Sc 3.06
Hg2 0.5000 0.5000 0.5000  4 As 3.06, 4 Hg 3.06
As1 0.7500 0.7500 0.7500  4 Hg 3.06, 4 Sc 3.06

---

(8)
DFT (PBE) results for Si2HgAs after structural relaxation.

Space group ... F-43m (216)
Calculated density ... 7.23 Mg/m³
VASP energy ... -13.184 eV/f.u.

abc: 4.7593 4.7593 4.7593
angles: 60.00 60.00 60.00
Last column: nearest neighbours and their distance in Å.
Positions (direct):
Si1 0.0000 0.0000 0.0000  4 Hg 2.91, 4 Si 2.91
Si2 0.2500 0.2500 0.2500  4 As 2.91, 4 Si 2.91
Hg1 0.7500 0.7500 0.7500  4 As 2.91, 4 Si 2.91
As1 0.5000 0.5000 0.5000  4 Hg 2.91, 4 Si 2.91

---

(9)
DFT (PBE) results for SiSnHg2As4 after structural relaxation.

Space group ... I-4 (82)
Calculated density ... 6.46 Mg/m³
VASP energy ... -28.679 eV/f.u.

abc: 7.2570 7.2570 7.2570
angles: 130.15 130.15 73.17
Last column: nearest neighbours and their distance in Å.
Positions (direct):
Si1 0.0000 0.0000 0.0000  4 As 2.40
Sn1 0.7500 0.2500 0.5000  4 As 2.67
Hg1 0.2500 0.7500 0.5000  4 As 2.68
Hg2 0.5000 0.5000 0.0000  4 As 2.71
As1 0.1122 0.6535 0.9984  1 Si 2.40, 1 Sn 2.67, 1 Hg 2.68
As2 0.3465 0.3449 0.4587  1 Si 2.40, 1 Sn 2.67, 1 Hg 2.68
As3 0.6551 0.1138 0.0016  1 Si 2.40, 1 Sn 2.67, 1 Hg 2.68
As4 0.8862 0.8878 0.5413  1 Si 2.40, 1 Sn 2.67, 1 Hg 2.68

---

(10)
DFT (PBE) results for SnHgAs2 after structural relaxation.

Space group ... F-43m (216)
Calculated density ... 8.59 Mg/m³
VASP energy ... -12.366 eV/f.u.

abc: 5.0421 5.0421 5.0421
angles: 60.00 60.00 60.00
Last column: nearest neighbours and their distance in Å.
Positions (direct):
Sn1 0.0000 0.0000 0.0000  4 Hg 3.09, 4 As 3.09
Hg1 0.7500 0.7500 0.7500  4 Sn 3.09, 4 As 3.09
As1 0.2500 0.2500 0.2500  4 As 3.09, 4 Sn 3.09
As2 0.5000 0.5000 0.5000  4 Hg 3.09, 4 As 3.09

---

(11)
DFT (PBE) results for Sn2HgAs2 after structural relaxation.

Space group ... Cmc2_1 (36)
Calculated density ... 7.61 Mg/m³
VASP energy ... -17.117 eV/f.u.

abc: 8.7023 8.7023 6.9523
angles: 90.00 90.00 150.83
Last column: nearest neighbours and their distance in Å.
Positions (direct):
Sn1 0.0464 0.9536 0.5000  3 As 2.92-2.94, 2 Hg 3.22
Sn2 0.1965 0.8035 0.8702  5 As 2.89-3.04
Sn3 0.8035 0.1965 0.3702  5 As 2.89-3.04
Sn4 0.9536 0.0464 0.0000  3 As 2.92-2.94, 2 Hg 3.22
Hg1 0.4086 0.5914 0.6796  4 As 2.84-2.93
Hg2 0.5914 0.4086 0.1796  4 As 2.84-2.93
As1 0.1951 0.8049 0.2853  4 Sn 2.89-2.92, 2 Hg 2.90
As2 0.4216 0.5784 0.2716  2 Hg 2.84-2.93, 4 Sn 2.94-3.04
As3 0.5784 0.4216 0.7716  2 Hg 2.84-2.93, 4 Sn 2.94-3.04
As4 0.8049 0.1951 0.7853  4 Sn 2.89-2.92, 2 Hg 2.90

---

(12)
DFT (PBE) results for SnHg2As after structural relaxation.

Space group ... F-43m (216)
Calculated density ... 10.03 Mg/m³
VASP energy ... -8.613 eV/f.u.

abc: 5.1827 5.1827 5.1827
angles: 60.00 60.00 60.00
Last column: nearest neighbours and their distance in Å.
Positions (direct):
Sn1 0.0000 0.0000 0.0000  4 Hg 3.17, 4 As 3.17
Hg1 0.2500 0.2500 0.2500  4 Hg 3.17, 4 Sn 3.17
Hg2 0.5000 0.5000 0.5000  4 As 3.17, 4 Hg 3.17
As1 0.7500 0.7500 0.7500  4 Hg 3.17, 4 Sn 3.17

---

(13)
DFT (PBE) results for Sn3Hg5As after structural relaxation.

Space group ... P2 (3)
Calculated density ... 8.54 Mg/m³
VASP energy ... -16.009 eV/f.u.

abc: 6.5218 6.5379 6.5390
angles: 90.00 90.44 90.00
Last column: nearest neighbours and their distance in Å.
Positions (direct):
Sn1 0.0000 0.0000 0.0000  5 Hg 2.90-3.22
Sn2 0.0000 0.4970 0.5000  4 Hg 2.91-2.92
Sn3 0.5000 0.5026 0.0000  6 Hg 2.91-3.26
Hg1 0.0000 0.4920 0.0000  4 Hg 3.06-3.07, 6 Sn 3.22-3.32
Hg2 0.2672 0.7677 0.2706  1 As 2.59, 1 Sn 2.90
Hg3 0.2746 0.2263 0.7289  1 As 2.59
Hg4 0.7254 0.2263 0.2711  1 As 2.59
Hg5 0.7328 0.7677 0.7294  1 As 2.59, 1 Sn 2.90
As1 0.5000 0.9946 0.5000  4 Hg 2.59

---

(14)
DFT (PBE) results for SrHgAs after structural relaxation.

Space group ... F-43m (216)
Calculated density ... 6.25 Mg/m³
VASP energy ... -7.625 eV/f.u.

abc: 5.1468 5.1468 5.1468
angles: 60.00 60.00 60.00
Last column: nearest neighbours and their distance in Å.
Positions (direct):
Sr1 0.0000 0.0000 0.0000  4 As 3.15, 4 Hg 3.15
Hg1 0.2500 0.2500 0.2500  4 Sr 3.15
As1 0.7500 0.7500 0.7500  4 Sr 3.15

---

(15)
DFT (PBE) results for SrHgAs after structural relaxation.

Space group ... F-43m (216)
Calculated density ... 6.46 Mg/m³
VASP energy ... -8.321 eV/f.u.

abc: 5.0925 5.0925 5.0925
angles: 60.00 60.00 60.00
Last column: nearest neighbours and their distance in Å.
Positions (direct):
Sr1 0.0000 0.0000 0.0000  4 As 3.12
Hg1 0.5000 0.5000 0.5000  4 As 3.12
As1 0.7500 0.7500 0.7500  4 Hg 3.12, 4 Sr 3.12

---

(16)
DFT (PBE) results for SrHgAs2 after structural relaxation.

Space group ... F-43m (216)
Calculated density ... 7.33 Mg/m³
VASP energy ... -12.061 eV/f.u.

abc: 5.1977 5.1977 5.1977
angles: 60.00 60.00 60.00
Last column: nearest neighbours and their distance in Å.
Positions (direct):
Sr1 0.0000 0.0000 0.0000  4 Hg 3.18, 4 As 3.18
Hg1 0.2500 0.2500 0.2500  4 As 3.18, 4 Sr 3.18
As1 0.5000 0.5000 0.5000  4 As 3.18, 4 Hg 3.18
As2 0.7500 0.7500 0.7500  4 As 3.18, 4 Sr 3.18

---

(17)
DFT (PBE) results for SrHgAs2 after structural relaxation.

Space group ... F-43m (216)
Calculated density ... 7.33 Mg/m³
VASP energy ... -12.061 eV/f.u.

abc: 5.1976 5.1976 5.1976
angles: 60.00 60.00 60.00
Last column: nearest neighbours and their distance in Å.
Positions (direct):
Sr1 0.0000 0.0000 0.0000  4 Hg 3.18, 4 As 3.18
Hg1 0.7500 0.7500 0.7500  4 As 3.18, 4 Sr 3.18
As1 0.2500 0.2500 0.2500  4 As 3.18, 4 Sr 3.18
As2 0.5000 0.5000 0.5000  4 Hg 3.18, 4 As 3.18

---

(18)
DFT (PBE) results for TaHgAs after structural relaxation.

Total magnetization ... 0.0 μB/f.u.
Space group ... F-43m (216)
Calculated density ... 11.95 Mg/m³
VASP energy ... -14.847 eV/f.u.

abc: 4.4762 4.4762 4.4762
angles: 60.00 60.00 60.00
Last column: nearest neighbours and their distance in Å.
Positions (direct):
Ta1 0.0000 0.0000 0.0000  4 As 2.74
Hg1 0.5000 0.5000 0.5000  4 As 2.74
As1 0.7500 0.7500 0.7500  4 Ta 2.74, 4 Hg 2.74

---

(19)
DFT (PBE) results for HgTe2As after structural relaxation.

Space group ... F-43m (216)
Calculated density ... 8.73 Mg/m³
VASP energy ... -9.622 eV/f.u.

abc: 5.2264 5.2264 5.2264
angles: 60.00 60.00 60.00
Last column: nearest neighbours and their distance in Å.
Positions (direct):
Hg1 0.0000 0.0000 0.0000  4 As 3.20, 4 Te 3.20
Te1 0.2500 0.2500 0.2500  4 Hg 3.20, 4 Te 3.20
Te2 0.5000 0.5000 0.5000  4 As 3.20, 4 Te 3.20
As1 0.7500 0.7500 0.7500  4 Hg 3.20, 4 Te 3.20

---

(20)
DFT (PBE) results for HgTeAs after structural relaxation.

Space group ... F-43m (216)
Calculated density ... 7.81 Mg/m³
VASP energy ... -7.086 eV/f.u.

abc: 4.9489 4.9489 4.9489
angles: 60.00 60.00 60.00
Last column: nearest neighbours and their distance in Å.
Positions (direct):
Hg1 0.0000 0.0000 0.0000  4 As 3.03
Te1 0.5000 0.5000 0.5000  4 As 3.03
As1 0.2500 0.2500 0.2500  4 Hg 3.03, 4 Te 3.03